[1]
# SrCa2TeF

SrCa2TeF after structural relaxation (PBE-GGA, Alexandria via LeMat-Bulk).

a b c (Å): 5.866 6.581 5.866
angles (deg): 90.00 90.00 90.00
Site moments in Bohr magnetons follow the coordinates.
Fractional positions:
Ca 0.500 0.000 0.000  0.11
Ca 0.000 0.000 0.500  0.12
Te 0.000 0.000 0.000  0.01
F 0.500 0.500 0.500  0.03
Sr 0.000 0.500 0.000  0.05

Calculated values
Energy = -2.81 eV/atom
Energy relative to the elements, uncorrected = -0.675 eV/atom


[2]
# YHfP2O

YHfP2O after structural relaxation (PBE-GGA, Alexandria via LeMat-Bulk).

a b c (Å): 5.062 5.062 3.976
angles (deg): 90.00 90.00 90.00
Fractional positions:
O 0.000 0.000 0.500
P 0.500 0.000 0.000
P 0.000 0.500 0.000
Hf 0.000 0.000 0.000
Y 0.500 0.500 0.500

Calculated values
Energy = -7.76 eV/atom
Energy relative to the elements, uncorrected = -1.317 eV/atom


[3]
# Rb2Na4HgPb2

Rb2Na4HgPb2 after structural relaxation (PBE-GGA, Alexandria via LeMat-Bulk).

a b c (Å): 5.907 8.239 8.239
angles (deg): 60.34 82.30 82.30
Fractional positions:
Rb 0.275 0.619 0.619
Rb 0.725 0.381 0.381
Na 0.775 0.947 0.346
Na 0.225 0.654 0.053
Na 0.775 0.346 0.947
Na 0.225 0.053 0.654
Pb 0.249 0.192 0.192
Pb 0.751 0.808 0.808
Hg 0.500 0.000 0.000

Calculated values
Energy = -1.76 eV/atom
Energy of formation from the pure elements = -0.88 eV per formula unit


[4]
# Tb2Er2In

Tb2Er2In after structural relaxation (PBE-GGA, Alexandria via LeMat-Bulk).

a b c (Å): 4.317 4.317 9.139
angles (deg): 103.66 103.66 90.00
Fractional positions:
Tb 0.250 0.750 0.500
Tb 0.750 0.250 0.500
Er 0.589 0.589 0.179
Er 0.411 0.411 0.821
In 0.000 0.000 0.000

Calculated values
Energy = -3.92 eV/atom
Energy of formation from the pure elements = 1.55 eV per formula unit


[5]
# InIr2Se

InIr2Se after structural relaxation (PBE-GGA, Alexandria via LeMat-Bulk).

a b c (Å): 4.584 4.584 5.285
angles (deg): 77.69 77.69 38.96
Fractional positions:
Ir 0.002 0.002 0.978
Ir 0.498 0.498 0.522
Se 0.750 0.750 0.750
In 0.250 0.250 0.250

Calculated values
Energy = -5.72 eV/atom
Energy relative to the elements, uncorrected = 0.263 eV/atom


[6]
# PrHoScCd

PrHoScCd after structural relaxation (PBE-GGA, Alexandria via LeMat-Bulk).

a b c (Å): 5.411 5.411 5.411
angles (deg): 60.00 60.00 60.00
Fractional positions:
Pr 0.000 0.000 0.000
Cd 0.750 0.750 0.750
Sc 0.250 0.250 0.250
Ho 0.500 0.500 0.500

Calculated values
Energy = -4.20 eV/atom
Energy of formation from the pure elements = -0.19 eV per formula unit


[7]
# La6CoRh3

La6CoRh3 after structural relaxation (PBE-GGA, Alexandria via LeMat-Bulk).

a b c (Å): 7.021 7.595 10.481
angles (deg): 90.00 88.62 90.00
Fractional positions:
Rh 0.000 0.000 0.500
Rh 0.500 0.500 0.000
Rh 0.533 0.898 0.267
Rh 0.967 0.398 0.233
Rh 0.467 0.102 0.733
Rh 0.033 0.602 0.767
La 0.169 0.318 0.930
La 0.669 0.182 0.430
La 0.317 0.826 0.922
La 0.831 0.682 0.070
La 0.163 0.067 0.249
La 0.683 0.174 0.078
La 0.663 0.433 0.749
La 0.837 0.933 0.751
La 0.817 0.674 0.422
La 0.337 0.567 0.251
La 0.331 0.818 0.570
La 0.183 0.326 0.578
Co 0.000 0.000 0.000
Co 0.500 0.500 0.500

Calculated values
Energy = -6.37 eV/atom
Energy of formation from the pure elements = -5.01 eV per formula unit


[8]
# CaP4Au

CaP4Au after structural relaxation (PBE-GGA, Alexandria via LeMat-Bulk).

a b c (Å): 5.463 5.463 5.463
angles (deg): 60.00 60.00 60.00
Fractional positions:
P 0.394 0.394 0.818
P 0.818 0.394 0.394
P 0.394 0.394 0.394
P 0.394 0.818 0.394
Ca 0.000 0.000 0.000
Au 0.750 0.750 0.750

Calculated values
Energy = -4.47 eV/atom
Energy of formation from the pure elements = 0.08 eV per formula unit


[9]
# KNaZr2Sb

KNaZr2Sb after structural relaxation (PBE-GGA, Alexandria via LeMat-Bulk).

a b c (Å): 5.528 6.507 5.528
angles (deg): 90.00 90.00 90.00
Site moments in Bohr magnetons follow the coordinates.
Fractional positions:
Zr 0.500 0.000 0.000  0.92
Zr 0.000 0.000 0.500  1.18
Na 0.500 0.500 0.500  0.00
K 0.000 0.500 0.000  0.02
Sb 0.000 0.000 0.000  -0.04

Calculated values
Energy = -4.11 eV/atom
Energy relative to the elements, uncorrected = 0.620 eV/atom


[10]
# RbCdPb3

RbCdPb3 after structural relaxation (PBE-GGA, Alexandria via LeMat-Bulk).

a b c (Å): 7.795 5.673 7.764
angles (deg): 89.41 89.99 90.01
Fractional positions:
Cd 0.679 0.425 0.201
Cd 0.179 0.927 0.700
Pb 0.467 0.929 0.401
Pb 0.465 0.924 0.000
Pb 0.295 0.427 0.200
Pb 0.795 0.926 0.701
Pb 0.966 0.429 0.901
Pb 0.966 0.423 0.501
Rb 0.472 0.427 0.701
Rb 0.972 0.926 0.201

Calculated values
Energy = -2.61 eV/atom
Energy of formation from the pure elements = -0.06 eV per formula unit


[11]
# MnCoAu2

MnCoAu2 after structural relaxation (PBE-GGA, Alexandria via LeMat-Bulk).

a b c (Å): 4.450 4.450 4.450
angles (deg): 60.00 60.00 60.00
Site moments in Bohr magnetons follow the coordinates.
Fractional positions:
Au 0.000 0.000 0.000  0.06
Au 0.750 0.750 0.750  0.01
Co 0.500 0.500 0.500  1.67
Mn 0.250 0.250 0.250  3.70

Calculated values
Energy = -5.53 eV/atom
Energy of formation from the pure elements = 0.71 eV per formula unit


[12]
# Mn2FeOs

Mn2FeOs after structural relaxation (PBE-GGA, Alexandria via LeMat-Bulk).

a b c (Å): 4.421 4.421 4.458
angles (deg): 79.93 79.93 34.26
Site moments in Bohr magnetons follow the coordinates.
Fractional positions:
Os 0.500 0.500 0.508  -0.14
Mn 0.749 0.749 0.749  1.24
Mn 0.998 0.998 0.012  1.39
Fe 0.253 0.253 0.231  -1.82

Calculated values
Energy = -9.41 eV/atom
Energy of formation from the pure elements = 0.40 eV per formula unit


[13]
# NdOsN2

NdOsN2 after structural relaxation (PBE-GGA, Alexandria via LeMat-Bulk).

a b c (Å): 3.444 3.444 6.244
angles (deg): 73.99 73.99 60.00
Fractional positions:
Nd 0.000 0.000 0.000
N 0.869 0.869 0.392
N 0.131 0.131 0.608
Os 0.500 0.500 0.500

Calculated values
Energy = -7.81 eV/atom
Energy relative to the elements, uncorrected = 0.351 eV/atom


[14]
# La8Ru3Br4O

La8Ru3Br4O after structural relaxation (PBE-GGA, Alexandria via LeMat-Bulk).

a b c (Å): 8.123 9.239 8.138
angles (deg): 116.18 119.94 90.00
Fractional positions:
O 0.000 0.500 0.000
La 0.224 0.687 0.964
La 0.260 0.313 0.036
La 0.226 0.688 0.451
La 0.735 0.704 0.470
La 0.774 0.312 0.549
La 0.776 0.313 0.036
La 0.740 0.687 0.964
La 0.265 0.296 0.530
Br 0.000 0.000 0.500
Br 0.000 0.000 0.000
Br 0.500 0.000 0.000
Br 0.500 0.000 0.500
Ru 0.500 0.500 0.000
Ru 0.500 0.500 0.500
Ru 0.000 0.500 0.500

Calculated values
Energy = -6.13 eV/atom
Energy relative to the elements, uncorrected = -1.200 eV/atom


[15]
# PmBe3Ir3

PmBe3Ir3 after structural relaxation (PBE-GGA, Alexandria via LeMat-Bulk).

a b c (Å): 6.085 6.085 6.085
angles (deg): 90.00 90.00 90.00
Fractional positions:
Be 0.750 0.500 0.000
Be 0.250 0.500 0.000
Be 0.000 0.750 0.500
Be 0.000 0.250 0.500
Be 0.500 0.000 0.250
Be 0.500 0.000 0.750
Pm 0.500 0.500 0.500
Pm 0.000 0.000 0.000
Ir 0.000 0.500 0.750
Ir 0.500 0.250 0.000
Ir 0.250 0.000 0.500
Ir 0.750 0.000 0.500
Ir 0.000 0.500 0.250
Ir 0.500 0.750 0.000

Calculated values
Energy = -6.22 eV/atom
Energy of formation from the pure elements = -1.01 eV per formula unit


[16]
# Pr4Nd4Dy

Pr4Nd4Dy after structural relaxation (PBE-GGA, Alexandria via LeMat-Bulk).

a b c (Å): 5.210 8.234 8.234
angles (deg): 84.25 71.56 71.56
Fractional positions:
Nd 0.665 0.669 0.000
Nd 0.335 0.331 0.000
Nd 0.334 0.000 0.331
Nd 0.666 0.000 0.669
Pr 0.668 0.332 0.332
Pr 0.000 0.668 0.332
Pr 0.332 0.668 0.668
Pr 0.000 0.332 0.668
Dy 0.000 0.000 0.000

Calculated values
Energy = -4.74 eV/atom
Energy of formation from the pure elements = 0.13 eV per formula unit


[17]
# PmGa4Ir

PmGa4Ir after structural relaxation (PBE-GGA, Alexandria via LeMat-Bulk).

a b c (Å): 4.304 6.634 8.225
angles (deg): 90.00 105.17 90.00
Fractional positions:
Ga 0.065 0.750 0.129
Ga 0.317 0.050 0.635
Ga 0.317 0.450 0.635
Ga 0.683 0.550 0.365
Ga 0.500 0.500 0.000
Ga 0.500 0.000 0.000
Ga 0.935 0.250 0.871
Ga 0.683 0.950 0.365
Pm 0.122 0.250 0.244
Pm 0.878 0.750 0.756
Ir 0.781 0.250 0.561
Ir 0.219 0.750 0.439

Calculated values
Energy = -4.91 eV/atom
Energy of formation from the pure elements = -3.72 eV per formula unit


[18]
# La2SnAs

La2SnAs after structural relaxation (PBE-GGA, Alexandria via LeMat-Bulk).

a b c (Å): 4.216 4.216 8.739
angles (deg): 76.04 76.04 60.00
Fractional positions:
Sn 0.499 0.499 0.502
As 0.667 0.667 0.998
La 0.262 0.262 0.214
La 0.071 0.071 0.786

Calculated values
Energy = -5.64 eV/atom
Energy of formation from the pure elements = -4.07 eV per formula unit


[19]
# YNbCo2Rh

YNbCo2Rh after structural relaxation (PBE-GGA, Alexandria via LeMat-Bulk).

a b c (Å): 4.421 5.020 4.421
angles (deg): 90.00 90.00 90.00
Site moments in Bohr magnetons follow the coordinates.
Fractional positions:
Co 0.500 0.000 0.000  1.00
Co 0.000 0.000 0.500  0.89
Rh 0.500 0.500 0.500  -0.04
Y 0.000 0.000 0.000  -0.14
Nb 0.000 0.500 0.000  -0.33

Calculated values
Energy = -5.69 eV/atom
Energy of formation from the pure elements = 9.66 eV per formula unit


[20]
# CsTlAu

CsTlAu after structural relaxation (PBE-GGA, Alexandria via LeMat-Bulk).

a b c (Å): 5.621 5.621 5.621
angles (deg): 60.00 60.00 60.00
Fractional positions:
Au 0.250 0.250 0.250
Cs 0.500 0.500 0.500
Tl 0.000 0.000 0.000

Calculated values
Energy = -2.17 eV/atom
Energy of formation from the pure elements = -0.01 eV per formula unit


[21]
# LiHg2Mo

LiHg2Mo after structural relaxation (PBE-GGA, Alexandria via LeMat-Bulk).

a b c (Å): 5.940 5.940 5.940
angles (deg): 152.10 129.77 58.43
Site moments in Bohr magnetons follow the coordinates.
Fractional positions:
Li 0.505 0.505 0.000  -0.01
Hg 0.742 0.242 0.500  0.01
Hg 0.004 0.004 0.000  -0.01
Mo 0.249 0.749 0.500  0.59

Calculated values
Energy = -2.96 eV/atom
Energy of formation from the pure elements = 1.50 eV per formula unit


[22]
# Sr2Ag2Ge

Sr2Ag2Ge after structural relaxation (PBE-GGA, Alexandria via LeMat-Bulk).

a b c (Å): 4.562 6.243 11.250
angles (deg): 83.08 78.30 68.57
Fractional positions:
Sr 0.907 0.298 0.888
Sr 0.695 0.241 0.368
Sr 0.093 0.702 0.112
Sr 0.305 0.759 0.632
Ag 0.615 0.886 0.883
Ag 0.385 0.114 0.117
Ag 0.042 0.324 0.591
Ag 0.958 0.676 0.409
Ge 0.570 0.179 0.681
Ge 0.430 0.821 0.319

Calculated values
Energy = -3.10 eV/atom
Energy of formation from the pure elements = -1.80 eV per formula unit


[23]
# TlBiAu

TlBiAu after structural relaxation (PBE-GGA, Alexandria via LeMat-Bulk).

a b c (Å): 4.305 6.880 6.756
angles (deg): 111.02 108.54 72.17
Fractional positions:
Au 0.007 0.326 0.558
Au 0.871 0.778 0.731
Tl 0.284 0.578 0.365
Tl 0.594 0.526 0.924
Bi 0.315 0.067 0.903
Bi 0.563 0.037 0.386

Calculated values
Energy = -3.20 eV/atom
Energy of formation from the pure elements = -0.08 eV per formula unit


[24]
# CuRhBr2

CuRhBr2 after structural relaxation (PBE-GGA, Alexandria via LeMat-Bulk).

a b c (Å): 6.575 6.575 6.575
angles (deg): 33.77 33.77 33.77
Site moments in Bohr magnetons follow the coordinates.
Fractional positions:
Br 0.500 0.500 0.500  0.07
Br 0.000 0.000 0.000  0.07
Cu 0.250 0.250 0.250  0.01
Rh 0.750 0.750 0.750  0.85

Calculated values
Energy = -3.43 eV/atom
Energy relative to the elements, uncorrected = 0.267 eV/atom


[25]
# Rb2SbAuI6

Rb2SbAuI6 after structural relaxation (PBE-GGA, Alexandria via LeMat-Bulk).

a b c (Å): 8.298 13.484 8.656
angles (deg): 90.00 84.56 90.00
Fractional positions:
Rb 0.021 0.793 0.330
Rb 0.521 0.707 0.830
Rb 0.979 0.207 0.670
Rb 0.479 0.293 0.170
I 0.798 0.942 0.656
I 0.702 0.442 0.844
I 0.454 0.783 0.423
I 0.720 0.029 0.189
I 0.954 0.717 0.923
I 0.220 0.471 0.689
I 0.046 0.283 0.077
I 0.202 0.058 0.344
I 0.280 0.971 0.811
I 0.780 0.529 0.311
I 0.546 0.217 0.577
I 0.298 0.558 0.156
Sb 0.000 0.500 0.000
Sb 0.500 0.000 0.500
Au 0.500 0.000 0.000
Au 0.000 0.500 0.500

Calculated values
Energy = -2.60 eV/atom
Energy relative to the elements, uncorrected = -0.739 eV/atom